## La2AlNi12P3 (PBE)

Data for crystalline La2AlNi12P3 at its relaxed geometry.

Summary:
Total moment = 0.0 μB/f.u.
V = 283.7 Å³/f.u.
DFT formation energy = -209 meV per atom

```
data_La2AlNi12P3
_chemical_formula_sum 'La2 Al1 Ni12 P3'
_cell_length_a 6.906
_cell_length_b 6.906
_cell_length_c 6.906
_cell_angle_alpha 70.58
_cell_angle_beta 70.58
_cell_angle_gamma 70.58
_symmetry_space_group_name_H-M 'P 1'
_symmetry_Int_Tables_number 1
_symmetry_space_group_name_Hall 'P 1'
loop_
_atom_site_label
_atom_site_type_symbol
_atom_site_fract_x
_atom_site_fract_y
_atom_site_fract_z
La1 La 0.122 0.122 0.122
La2 La 0.878 0.878 0.878
Al1 Al 0.500 0.500 0.500
Ni1 Ni 0.142 0.632 0.632
Ni2 Ni 0.221 0.221 0.646
Ni3 Ni 0.221 0.646 0.221
Ni4 Ni 0.354 0.779 0.779
Ni5 Ni 0.368 0.368 0.858
Ni6 Ni 0.368 0.858 0.368
Ni7 Ni 0.632 0.142 0.632
Ni8 Ni 0.632 0.632 0.142
Ni9 Ni 0.646 0.221 0.221
Ni10 Ni 0.779 0.354 0.779
Ni11 Ni 0.779 0.779 0.354
Ni12 Ni 0.858 0.368 0.368
P1 P 0.000 0.500 0.500
P2 P 0.500 0.000 0.500
P3 P 0.500 0.500 0.000
```

=====

## ZrW2Cl (PBE)

Data for crystalline ZrW2Cl at its relaxed geometry.

Summary:
ΔE_f (raw) = 2.2 eV per formula unit
E above lowest polymorph = 0.593 eV/atom
Total moment = 0.0 μB/f.u.
V = 71.2 Å³/f.u.

```
data_ZrW2Cl
_chemical_formula_sum 'Zr1 W2 Cl1'
_cell_length_a 2.908
_cell_length_b 2.908
_cell_length_c 9.203
_cell_angle_alpha 90.00
_cell_angle_beta 90.00
_cell_angle_gamma 113.80
_symmetry_space_group_name_H-M 'P 1'
_symmetry_Int_Tables_number 1
_symmetry_space_group_name_Hall 'P 1'
loop_
_atom_site_label
_atom_site_type_symbol
_atom_site_fract_x
_atom_site_fract_y
_atom_site_fract_z
Zr1 Zr 0.000 0.000 0.000
W1 W 0.500 0.500 0.257
W2 W 0.500 0.500 0.743
Cl1 Cl 0.000 0.000 0.500
```